# Cs2LaTeO6

An optimized crystal structure of Cs2LaTeO6 (GGA-PBE, the Alexandria database).

Summary:
symmetry: No. 164
calculated volume: 258.98 Å³/cell
total moment: 1.11 Bohr magnetons per cell
formation energy without anion corrections: -1701.6 meV/atom
total DFT energy (no corrections): -5.65 eV per atom

Geometry as extended XYZ:
```
10
Lattice="6.926 0.000 0.000 -3.463 5.998 0.000 0.000 0.000 6.234" Properties=species:S:1:pos:R:3 pbc="T T T"
Cs 0.000 3.999 0.644
Cs 3.463 1.999 5.591
La 0.000 0.000 3.117
Te 0.000 0.000 0.000
O 0.000 1.550 5.031
O -2.121 5.223 5.031
O 1.342 0.775 1.203
O 2.121 5.223 5.031
O 5.584 0.775 1.203
O 3.463 4.448 1.203
```



# InTe2P

An optimized crystal structure of InTe2P (GGA-PBE, the Alexandria database).

Summary:
symmetry: No. 35
ΔE to the lowest computed polymorph: 0.271 eV/atom
calculated volume: 109.23 Å³/cell
total moment: 0.00 Bohr magnetons per cell
formation energy without anion corrections: 294.7 meV/atom
total DFT energy (no corrections): -3.31 eV per atom

Geometry as extended XYZ:
```
4
Lattice="2.014 -2.969 0.000 2.014 2.969 0.000 0.000 0.000 9.136" Properties=species:S:1:pos:R:3 pbc="T T T"
In 0.000 0.000 0.000
Te 0.000 0.000 3.682
Te 2.014 0.000 6.883
P 2.014 0.000 2.015
```